Record 1
# Ga2Hg2Pb (PBE, relaxed)
# Formation energy from the elements   103 meV per atom
# Crystal system   tetragonal
# Distance to the lowest polymorph of the same formula   2.5 kJ/mol of atoms
# Magnetic moment   0.000 Bohr magnetons per cell
data_Ga2Hg2Pb
_chemical_formula_sum 'Ga2 Hg2 Pb1'
_symmetry_space_group_name_H-M 'P 1'
_symmetry_Int_Tables_number 1
_symmetry_space_group_name_Hall 'P 1'
_cell_length_a 4.662
_cell_length_b 4.662
_cell_length_c 6.580
_cell_angle_alpha 69.25
_cell_angle_beta 69.25
_cell_angle_gamma 90.00
loop_
_atom_site_label
_atom_site_type_symbol
_atom_site_fract_x
_atom_site_fract_y
_atom_site_fract_z
Pb1 Pb 0.000 0.000 0.000
Hg1 Hg 0.750 0.250 0.500
Hg2 Hg 0.250 0.750 0.500
Ga1 Ga 0.390 0.390 0.220
Ga2 Ga 0.610 0.610 0.780

Record 2
# GaHgPb4 (PBE, relaxed)
# Formation energy from the elements   82 meV per atom
# Crystal system   monoclinic
# Distance to the lowest polymorph of the same formula   4.2 kJ/mol of atoms
# Magnetic moment   0.000 Bohr magnetons per cell
data_GaHgPb4
_chemical_formula_sum 'Ga1 Hg1 Pb4'
_symmetry_space_group_name_H-M 'P 1'
_symmetry_Int_Tables_number 1
_symmetry_space_group_name_Hall 'P 1'
_cell_length_a 5.038
_cell_length_b 5.081
_cell_length_c 8.990
_cell_angle_alpha 73.50
_cell_angle_beta 73.73
_cell_angle_gamma 60.28
loop_
_atom_site_label
_atom_site_type_symbol
_atom_site_fract_x
_atom_site_fract_y
_atom_site_fract_z
Ga1 Ga 0.000 0.000 0.000
Hg1 Hg 0.500 0.500 0.500
Pb1 Pb 0.627 0.625 0.121
Pb2 Pb 0.373 0.375 0.879
Pb3 Pb 0.123 0.120 0.634
Pb4 Pb 0.877 0.880 0.366

Record 3
# Ga2HgPb3 (PBE, relaxed)
# Formation energy from the elements   90 meV per atom
# Crystal system   monoclinic
# Magnetic moment   0.000 Bohr magnetons per cell
data_Ga2HgPb3
_chemical_formula_sum 'Ga8 Hg4 Pb12'
_symmetry_space_group_name_H-M 'P 1'
_symmetry_Int_Tables_number 1
_symmetry_space_group_name_Hall 'P 1'
_cell_length_a 11.742
_cell_length_b 6.800
_cell_length_c 8.275
_cell_angle_alpha 90.00
_cell_angle_beta 88.73
_cell_angle_gamma 90.00
loop_
_atom_site_label
_atom_site_type_symbol
_atom_site_fract_x
_atom_site_fract_y
_atom_site_fract_z
Ga1 Ga 0.729 0.977 0.183
Ga2 Ga 0.771 0.477 0.317
Ga3 Ga 0.271 0.023 0.817
Ga4 Ga 0.229 0.523 0.683
Ga5 Ga 0.364 0.572 0.401
Ga6 Ga 0.136 0.072 0.099
Ga7 Ga 0.636 0.428 0.599
Ga8 Ga 0.864 0.928 0.901
Hg1 Hg 0.583 0.801 0.420
Hg2 Hg 0.917 0.301 0.080
Hg3 Hg 0.417 0.199 0.580
Hg4 Hg 0.083 0.699 0.920
Pb1 Pb 0.387 0.905 0.145
Pb2 Pb 0.113 0.405 0.355
Pb3 Pb 0.613 0.095 0.855
Pb4 Pb 0.887 0.595 0.645
Pb5 Pb 0.309 0.418 0.038
Pb6 Pb 0.191 0.918 0.462
Pb7 Pb 0.691 0.582 0.962
Pb8 Pb 0.809 0.082 0.538
Pb9 Pb 0.958 0.793 0.262
Pb10 Pb 0.542 0.293 0.238
Pb11 Pb 0.042 0.207 0.738
Pb12 Pb 0.458 0.707 0.762

Record 4
# Ga2Hg2Pb (PBE, relaxed)
# Formation energy from the elements   78 meV per atom
# Crystal system   tetragonal
# Distance to the lowest polymorph of the same formula   0.0 kJ/mol of atoms
# Magnetic moment   0.000 Bohr magnetons per cell
data_Ga2Hg2Pb
_chemical_formula_sum 'Ga4 Hg4 Pb2'
_symmetry_space_group_name_H-M 'P 1'
_symmetry_Int_Tables_number 1
_symmetry_space_group_name_Hall 'P 1'
_cell_length_a 8.580
_cell_length_b 8.580
_cell_length_c 3.340
_cell_angle_alpha 90.00
_cell_angle_beta 90.00
_cell_angle_gamma 90.00
loop_
_atom_site_label
_atom_site_type_symbol
_atom_site_fract_x
_atom_site_fract_y
_atom_site_fract_z
Pb1 Pb 0.000 0.000 0.000
Pb2 Pb 0.500 0.500 0.000
Hg1 Hg 0.338 0.838 0.000
Hg2 Hg 0.838 0.662 0.000
Hg3 Hg 0.662 0.162 0.000
Hg4 Hg 0.162 0.338 0.000
Ga1 Ga 0.133 0.633 0.500
Ga2 Ga 0.633 0.867 0.500
Ga3 Ga 0.867 0.367 0.500
Ga4 Ga 0.367 0.133 0.500

Record 5
# GaHg3Pb (PBE, relaxed)
# Formation energy from the elements   204 meV per atom
# Crystal system   cubic
# Distance to the lowest polymorph of the same formula   14.7 kJ/mol of atoms
# Magnetic moment   0.000 Bohr magnetons per cell
data_GaHg3Pb
_chemical_formula_sum 'Ga1 Hg3 Pb1'
_symmetry_space_group_name_H-M 'P 1'
_symmetry_Int_Tables_number 1
_symmetry_space_group_name_Hall 'P 1'
_cell_length_a 5.270
_cell_length_b 5.270
_cell_length_c 5.270
_cell_angle_alpha 90.00
_cell_angle_beta 90.00
_cell_angle_gamma 90.00
loop_
_atom_site_label
_atom_site_type_symbol
_atom_site_fract_x
_atom_site_fract_y
_atom_site_fract_z
Pb1 Pb 0.500 0.500 0.500
Hg1 Hg 0.000 0.500 0.000
Hg2 Hg 0.000 0.000 0.500
Hg3 Hg 0.500 0.000 0.000
Ga1 Ga 0.000 0.000 0.000

Record 6
# GaHgPb2 (PBE, relaxed)
# Formation energy from the elements   101 meV per atom
# Crystal system   trigonal
# Magnetic moment   0.000 Bohr magnetons per cell
data_GaHgPb2
_chemical_formula_sum 'Ga1 Hg1 Pb2'
_symmetry_space_group_name_H-M 'P 1'
_symmetry_Int_Tables_number 1
_symmetry_space_group_name_Hall 'P 1'
_cell_length_a 4.642
_cell_length_b 4.642
_cell_length_c 6.938
_cell_angle_alpha 70.45
_cell_angle_beta 70.45
_cell_angle_gamma 60.00
loop_
_atom_site_label
_atom_site_type_symbol
_atom_site_fract_x
_atom_site_fract_y
_atom_site_fract_z
Ga1 Ga 0.667 0.667 0.999
Hg1 Hg 0.499 0.499 0.504
Pb1 Pb 0.069 0.069 0.794
Pb2 Pb 0.266 0.266 0.203

Record 7
# GaHg9Pb2 (PBE, relaxed)
# Formation energy from the elements   52 meV per atom
# Crystal system   tetragonal
# Magnetic moment   0.000 Bohr magnetons per cell
data_GaHg9Pb2
_chemical_formula_sum 'Ga1 Hg9 Pb2'
_symmetry_space_group_name_H-M 'P 1'
_symmetry_Int_Tables_number 1
_symmetry_space_group_name_Hall 'P 1'
_cell_length_a 5.711
_cell_length_b 5.711
_cell_length_c 9.974
_cell_angle_alpha 90.00
_cell_angle_beta 90.00
_cell_angle_gamma 90.00
loop_
_atom_site_label
_atom_site_type_symbol
_atom_site_fract_x
_atom_site_fract_y
_atom_site_fract_z
Ga1 Ga 0.000 0.000 0.000
Hg1 Hg 0.500 0.500 0.000
Hg2 Hg 0.500 0.500 0.331
Hg3 Hg 0.500 0.500 0.669
Hg4 Hg 0.500 0.000 0.159
Hg5 Hg 0.500 0.000 0.500
Hg6 Hg 0.500 0.000 0.841
Hg7 Hg 0.000 0.500 0.159
Hg8 Hg 0.000 0.500 0.500
Hg9 Hg 0.000 0.500 0.841
Pb1 Pb 0.000 0.000 0.312
Pb2 Pb 0.000 0.000 0.688

Record 8
# GaHg2Pb6 (PBE, relaxed)
# Formation energy from the elements   81 meV per atom
# Crystal system   hexagonal
# Distance to the lowest polymorph of the same formula   3.0 kJ/mol of atoms
# Magnetic moment   0.000 Bohr magnetons per cell
data_GaHg2Pb6
_chemical_formula_sum 'Ga1 Hg2 Pb6'
_symmetry_space_group_name_H-M 'P 1'
_symmetry_Int_Tables_number 1
_symmetry_space_group_name_Hall 'P 1'
_cell_length_a 3.675
_cell_length_b 3.675
_cell_length_c 22.912
_cell_angle_alpha 90.00
_cell_angle_beta 90.00
_cell_angle_gamma 120.00
loop_
_atom_site_label
_atom_site_type_symbol
_atom_site_fract_x
_atom_site_fract_y
_atom_site_fract_z
Ga1 Ga 0.333 0.667 0.000
Hg1 Hg 0.667 0.333 0.325
Hg2 Hg 0.667 0.333 0.675
Pb1 Pb 0.667 0.333 0.903
Pb2 Pb 0.333 0.667 0.430
Pb3 Pb 0.333 0.667 0.782
Pb4 Pb 0.333 0.667 0.218
Pb5 Pb 0.333 0.667 0.570
Pb6 Pb 0.667 0.333 0.097

Record 9
# GaHg12Pb16 (PBE, relaxed)
# Formation energy from the elements   40 meV per atom
# Crystal system   monoclinic
# Magnetic moment   0.000 Bohr magnetons per cell
data_GaHg12Pb16
_chemical_formula_sum 'Ga1 Hg12 Pb16'
_symmetry_space_group_name_H-M 'P 1'
_symmetry_Int_Tables_number 1
_symmetry_space_group_name_Hall 'P 1'
_cell_length_a 10.147
_cell_length_b 10.147
_cell_length_c 10.408
_cell_angle_alpha 109.89
_cell_angle_beta 109.89
_cell_angle_gamma 108.20
loop_
_atom_site_label
_atom_site_type_symbol
_atom_site_fract_x
_atom_site_fract_y
_atom_site_fract_z
Ga1 Ga 0.629 0.629 0.322
Hg1 Hg 0.814 0.814 0.211
Hg2 Hg 0.645 0.645 0.836
Hg3 Hg 0.365 0.173 0.985
Hg4 Hg 0.823 0.633 0.630
Hg5 Hg 0.187 0.999 0.367
Hg6 Hg 0.360 0.989 0.179
Hg7 Hg 0.198 0.795 0.810
Hg8 Hg 0.795 0.198 0.810
Hg9 Hg 0.989 0.360 0.179
Hg10 Hg 0.999 0.187 0.367
Hg11 Hg 0.633 0.823 0.630
Hg12 Hg 0.173 0.365 0.985
Pb1 Pb 0.361 0.361 0.310
Pb2 Pb 0.005 0.005 0.000
Pb3 Pb 0.994 0.994 0.660
Pb4 Pb 0.308 0.308 0.719
Pb5 Pb 0.681 0.421 0.016
Pb6 Pb 0.580 0.297 0.590
Pb7 Pb 0.005 0.681 0.409
Pb8 Pb 0.996 0.656 0.996
Pb9 Pb 0.700 0.311 0.306
Pb10 Pb 0.400 0.993 0.682
Pb11 Pb 0.993 0.400 0.682
Pb12 Pb 0.311 0.700 0.306
Pb13 Pb 0.656 0.996 0.996
Pb14 Pb 0.681 0.005 0.409
Pb15 Pb 0.297 0.580 0.590
Pb16 Pb 0.421 0.681 0.016

Record 10
# GaHgPb3 (PBE, relaxed)
# Formation energy from the elements   538 meV per atom
# Crystal system   cubic
# Distance to the lowest polymorph of the same formula   46.7 kJ/mol of atoms
# Magnetic moment   0.000 Bohr magnetons per cell
data_GaHgPb3
_chemical_formula_sum 'Ga1 Hg1 Pb3'
_symmetry_space_group_name_H-M 'P 1'
_symmetry_Int_Tables_number 1
_symmetry_space_group_name_Hall 'P 1'
_cell_length_a 5.766
_cell_length_b 5.766
_cell_length_c 5.766
_cell_angle_alpha 90.00
_cell_angle_beta 90.00
_cell_angle_gamma 90.00
loop_
_atom_site_label
_atom_site_type_symbol
_atom_site_fract_x
_atom_site_fract_y
_atom_site_fract_z
Pb1 Pb 0.000 0.500 0.000
Pb2 Pb 0.000 0.000 0.500
Pb3 Pb 0.500 0.000 0.000
Hg1 Hg 0.000 0.000 0.000
Ga1 Ga 0.500 0.500 0.500

Record 11
# GaHgPb3 (PBE, relaxed)
# Formation energy from the elements   53 meV per atom
# Crystal system   monoclinic
# Distance to the lowest polymorph of the same formula   0.0 kJ/mol of atoms
# Magnetic moment   0.000 Bohr magnetons per cell
data_GaHgPb3
_chemical_formula_sum 'Ga4 Hg4 Pb12'
_symmetry_space_group_name_H-M 'P 1'
_symmetry_Int_Tables_number 1
_symmetry_space_group_name_Hall 'P 1'
_cell_length_a 6.090
_cell_length_b 9.106
_cell_length_c 10.283
_cell_angle_alpha 90.00
_cell_angle_beta 99.07
_cell_angle_gamma 90.00
loop_
_atom_site_label
_atom_site_type_symbol
_atom_site_fract_x
_atom_site_fract_y
_atom_site_fract_z
Ga1 Ga 0.366 0.286 0.780
Ga2 Ga 0.634 0.714 0.220
Ga3 Ga 0.634 0.786 0.720
Ga4 Ga 0.366 0.214 0.280
Hg1 Hg 0.861 0.782 0.498
Hg2 Hg 0.139 0.218 0.502
Hg3 Hg 0.139 0.282 0.002
Hg4 Hg 0.861 0.718 0.998
Pb1 Pb 0.185 0.960 0.742
Pb2 Pb 0.815 0.040 0.258
Pb3 Pb 0.815 0.460 0.758
Pb4 Pb 0.185 0.540 0.242
Pb5 Pb 0.280 0.554 0.585
Pb6 Pb 0.720 0.446 0.415
Pb7 Pb 0.720 0.054 0.915
Pb8 Pb 0.280 0.946 0.085
Pb9 Pb 0.325 0.881 0.413
Pb10 Pb 0.675 0.119 0.587
Pb11 Pb 0.675 0.381 0.087
Pb12 Pb 0.325 0.619 0.913

Record 12
# GaHgPb6 (PBE, relaxed)
# Formation energy from the elements   24 meV per atom
# Crystal system   tetragonal
# Magnetic moment   0.000 Bohr magnetons per cell
data_GaHgPb6
_chemical_formula_sum 'Ga1 Hg1 Pb6'
_symmetry_space_group_name_H-M 'P 1'
_symmetry_Int_Tables_number 1
_symmetry_space_group_name_Hall 'P 1'
_cell_length_a 4.891
_cell_length_b 4.891
_cell_length_c 9.878
_cell_angle_alpha 90.00
_cell_angle_beta 90.00
_cell_angle_gamma 90.00
loop_
_atom_site_label
_atom_site_type_symbol
_atom_site_fract_x
_atom_site_fract_y
_atom_site_fract_z
Ga1 Ga 0.000 0.000 0.500
Hg1 Hg 0.000 0.000 0.000
Pb1 Pb 0.500 0.500 0.000
Pb2 Pb 0.500 0.500 0.500
Pb3 Pb 0.500 0.000 0.254
Pb4 Pb 0.500 0.000 0.746
Pb5 Pb 0.000 0.500 0.254
Pb6 Pb 0.000 0.500 0.746

In the order shown, the computed E values come out to -1.970 -2.945 -2.824 -1.996 -1.325 -2.585 -1.044 -2.794 -2.236 -2.353 -2.837 -3.173 eV per atom.